Entry from Alexandria: Cr2SeCl after structural relaxation (PBE).

The value obtained for the magnetic moment is 9.0 μB/f.u. The value obtained for the offset from the most stable computed form is 0.252 eV per atom. For the formation energy (no corrections), the calculation gives 0.08 eV/atom.

Geometry as POSCAR:
```
Cr2SeCl
1.0
0.000 3.334 3.334
3.334 0.000 3.334
3.334 3.334 0.000
Cr Se Cl
2 1 1
direct
0.750 0.750 0.750
0.250 0.250 0.250
0.500 0.500 0.500
0.000 0.000 0.000
```


Entry from Alexandria: CrSeCl after structural relaxation (PBE).

The value obtained for the magnetic moment is 3.0 μB/f.u. For the formation energy (no corrections), the calculation gives -0.34 eV/atom.

Geometry as POSCAR:
```
CrSeCl
1.0
6.861 0.065 0.000
5.374 4.266 0.000
-6.117 -2.165 2.228
Cl Se Cr
1 1 1
direct
0.954 0.954 0.000
0.720 0.720 0.000
0.326 0.326 0.000
```


Entry from Alexandria: CrSeCl after structural relaxation (PBE).

The value obtained for the magnetic moment is 3.0 μB/f.u. For the formation energy (no corrections), the calculation gives 0.36 eV/atom.

Geometry as POSCAR:
```
CrSeCl
1.0
-2.120 -3.530 -2.067
2.235 -3.979 -0.634
-1.187 -3.723 2.441
Se Cl Cr
1 1 1
direct
0.250 0.250 0.250
0.000 0.000 0.000
0.500 0.500 0.500
```


Entry from Alexandria: Cr2SeCl after structural relaxation (PBE).

The value obtained for the magnetic moment is 9.0 μB/f.u. The value obtained for the offset from the most stable computed form is 0.136 eV per atom. For the formation energy (no corrections), the calculation gives -0.04 eV/atom.

Geometry as POSCAR:
```
Cr2SeCl
1.0
-1.100 4.252 2.895
1.170 -3.025 4.141
2.449 2.295 -4.050
Cl Cr Se
1 2 1
direct
0.250 0.750 0.500
0.997 0.997 0.000
0.503 0.503 0.000
0.750 0.250 0.500
```


Entry from Alexandria: Cr3SeCl after structural relaxation (PBE).

The value obtained for the magnetic moment is 3.4 μB/f.u. The value obtained for the offset from the most stable computed form is 0.000 eV per atom. For the formation energy (no corrections), the calculation gives 0.96 eV/atom.

Geometry as POSCAR:
```
Cr3SeCl
1.0
-3.818 1.702 0.521
-1.759 -3.797 -0.489
0.272 -0.661 4.152
Cr Se Cl
3 1 1
direct
0.500 0.000 0.000
0.000 0.500 0.000
0.000 0.000 0.500
0.500 0.500 0.500
0.000 0.000 0.000
```


Entry from Alexandria: Cr2SeCl after structural relaxation (PBE).

The value obtained for the magnetic moment is 9.0 μB/f.u. The value obtained for the offset from the most stable computed form is 0.077 eV per atom. For the formation energy (no corrections), the calculation gives -0.09 eV/atom.

Geometry as POSCAR:
```
Cr2SeCl
1.0
-2.512 -0.853 -2.150
-1.463 -1.936 2.477
-3.624 5.407 2.088
Cr Cl Se
2 1 1
direct
0.000 0.753 0.039
0.000 0.747 0.461
0.500 0.750 0.750
0.500 0.250 0.250
```


Copy entry 3 word for word.
Entry from Alexandria: CrSeCl after structural relaxation (PBE).

The value obtained for the magnetic moment is 3.0 μB/f.u. For the formation energy (no corrections), the calculation gives 0.36 eV/atom.

Geometry as POSCAR:
```
CrSeCl
1.0
-2.120 -3.530 -2.067
2.235 -3.979 -0.634
-1.187 -3.723 2.441
Se Cl Cr
1 1 1
direct
0.250 0.250 0.250
0.000 0.000 0.000
0.500 0.500 0.500
```


Repeat the second record exactly.
Entry from Alexandria: CrSeCl after structural relaxation (PBE).

The value obtained for the magnetic moment is 3.0 μB/f.u. For the formation energy (no corrections), the calculation gives -0.34 eV/atom.

Geometry as POSCAR:
```
CrSeCl
1.0
6.861 0.065 0.000
5.374 4.266 0.000
-6.117 -2.165 2.228
Cl Se Cr
1 1 1
direct
0.954 0.954 0.000
0.720 0.720 0.000
0.326 0.326 0.000
```


What did the sixth record say?
Entry from Alexandria: Cr2SeCl after structural relaxation (PBE).

The value obtained for the magnetic moment is 9.0 μB/f.u. The value obtained for the offset from the most stable computed form is 0.077 eV per atom. For the formation energy (no corrections), the calculation gives -0.09 eV/atom.

Geometry as POSCAR:
```
Cr2SeCl
1.0
-2.512 -0.853 -2.150
-1.463 -1.936 2.477
-3.624 5.407 2.088
Cr Cl Se
2 1 1
direct
0.000 0.753 0.039
0.000 0.747 0.461
0.500 0.750 0.750
0.500 0.250 0.250
```


What is the magnetic moment in the first record?
9.0 μB/f.u.